[1]
Computed, not measured: a relaxed NaCePm crystal at the PBE-GGA level of DFT.

Unit cell a=6.5693 b=3.7601 c=16.7749 alpha=90.00 beta=97.75 gamma=90.00
Space group Cm (No. 8)
One atom of each set of equivalent atoms:
Na (0.0000, 0.0000, 0.0000) x2
Na (0.1120, 0.5000, 0.8142) x2
Ce (0.1225, 0.0000, 0.3588) x2
Ce (0.4877, 0.0000, 0.4553) x2
Pm (0.2178, 0.0000, 0.6278) x2
Pm (0.3926, 0.0000, 0.1864) x2

The magnetic moment comes out at 0.00 μB/f.u. Its total energy is -3.85 eV/atom. The formation energy is 15 kJ per mole of atoms. The value obtained for the relative energy among the computed polymorphs is 0 meV/atom.

---

[2]
Computed, not measured: a relaxed Na3Ce2PmS6 crystal at the PBE-GGA level of DFT.

Unit cell a=7.1487 b=12.3823 c=7.0796 alpha=90.00 beta=109.67 gamma=90.00
Space group C2/m (No. 12)
One atom of each set of equivalent atoms:
Na (0.0000, 0.0000, 0.0000) x2
Na (0.0000, 0.3338, 0.0000) x4
Ce (0.0000, 0.1667, 0.5000) x4
Pm (0.0000, 0.5000, 0.5000) x2
S (0.2438, 0.3338, 0.7324) x8
S (0.2450, 0.0000, 0.7324) x4

The magnetic moment comes out at 2.02 μB/f.u. Its total energy is -5.54 eV/atom.

---

[3]
Computed, not measured: a relaxed NaCe3Pm2S6 crystal at the PBE-GGA level of DFT.

Unit cell a=17.6239 b=4.0336 c=8.0897 alpha=90.00 beta=103.14 gamma=90.00
Space group C2/m (No. 12)
One atom of each set of equivalent atoms:
Na (0.0000, 0.0000, 0.0000) x2
Ce (0.0000, 0.0000, 0.5000) x2
Ce (0.1652, 0.5000, 0.8322) x4
Pm (0.1684, 0.5000, 0.3377) x4
S (0.0011, 0.5000, 0.2521) x4
S (0.1655, 0.0000, 0.5840) x4
S (0.1666, 0.0000, 0.0839) x4

The magnetic moment comes out at 2.92 μB/f.u. Its total energy is -6.39 eV/atom.

---

[4]
Computed, not measured: a relaxed NaCe2PmS4 crystal at the PBE-GGA level of DFT.

Unit cell a=7.0168 b=4.0399 c=7.0225 alpha=90.00 beta=109.41 gamma=90.00
Space group P2/m (No. 10)
One atom of each set of equivalent atoms:
Na (0.0000, 0.0000, 0.0000) x1
Ce (0.5000, 0.0000, 0.5000) x1
Ce (0.5000, 0.5000, 0.0000) x1
Pm (0.0000, 0.5000, 0.5000) x1
S (0.2487, 0.0000, 0.7504) x2
S (0.2519, 0.5000, 0.2526) x2

The magnetic moment comes out at 2.27 μB/f.u. Its total energy is -6.19 eV/atom.

---

[5]
Computed, not measured: a relaxed Na2CePmS4 crystal at the PBE-GGA level of DFT.

Unit cell a=7.0801 b=4.1232 c=7.1349 alpha=90.00 beta=109.60 gamma=90.00
Space group P2/m (No. 10)
One atom of each set of equivalent atoms:
Na (0.0000, 0.0000, 0.0000) x1
Na (0.0000, 0.5000, 0.5000) x1
Ce (0.5000, 0.0000, 0.5000) x1
Pm (0.5000, 0.5000, 0.0000) x1
S (0.2676, 0.0000, 0.7570) x2
S (0.2676, 0.5000, 0.2551) x2

The magnetic moment comes out at 1.01 μB/f.u. Its total energy is -5.50 eV/atom.

---

[6]
Computed, not measured: a relaxed NaCePm4S8 crystal at the PBE-GGA level of DFT.

Unit cell a=8.3090 b=8.3090 c=20.5136 alpha=90.00 beta=90.00 gamma=120.00
Space group R3m (No. 160, hexagonal axes)
One atom of each set of equivalent atoms:
Na (0.0000, 0.0000, 0.0000) x3
Ce (0.0000, 0.0000, 0.6286) x3
Pm (0.0000, 0.0000, 0.2511) x3
Pm (0.1720, 0.3440, 0.4574) x9
S (0.0000, 0.0000, 0.3836) x3
S (0.0000, 0.0000, 0.8646) x3
S (0.0294, 0.5147, 0.3792) x9
S (0.1768, 0.3535, 0.2054) x9

The magnetic moment comes out at 0.98 μB/f.u. Its total energy is -6.14 eV/atom.